# 1
First-principles (PBE-GGA) data for a relaxed Al2Zn2Si3 crystal, as listed in the Open Quantum Materials Database.

Cell lengths 4.1592, 4.1592, 23.7224 Å; angles 90.00, 90.00, 120.00 degrees
Space group R3m (No. 160, hexagonal axes)
Unique sites:
Al 0.0000 0.0000 0.0000
Al 0.0000 0.0000 0.4910
Zn 0.0000 0.0000 0.2399
Zn 0.0000 0.0000 0.7564
Si 0.0000 0.0000 0.3830
Si 0.0000 0.0000 0.6189
Si 0.0000 0.0000 0.8649

**Calculated total energy**: -24.2 eV/f.u.

# 2
First-principles (PBE-GGA) data for a relaxed LiScAsIr crystal, as listed in the Open Quantum Materials Database.

Cell lengths 6.332, 6.332, 6.332 Å; angles 90.00, 90.00, 90.00 degrees
Space group F-43m (No. 216)
Unique sites:
Li 0.000 0.000 0.000
Sc 0.000 0.000 0.500
As 0.250 0.250 0.250
Ir 0.250 0.250 0.750

**Total magnetic moment**: 0.0 Bohr magnetons per cell
**Energy above the lowest structure with this stoichiometry**: 0.175 eV per atom

Please write out number 1 again, unchanged.
First-principles (PBE-GGA) data for a relaxed Al2Zn2Si3 crystal, as listed in the Open Quantum Materials Database.

Cell lengths 4.1592, 4.1592, 23.7224 Å; angles 90.00, 90.00, 120.00 degrees
Space group R3m (No. 160, hexagonal axes)
Unique sites:
Al 0.0000 0.0000 0.0000
Al 0.0000 0.0000 0.4910
Zn 0.0000 0.0000 0.2399
Zn 0.0000 0.0000 0.7564
Si 0.0000 0.0000 0.3830
Si 0.0000 0.0000 0.6189
Si 0.0000 0.0000 0.8649

**Calculated total energy**: -24.2 eV/f.u.

Copy entry 1 word for word.
First-principles (PBE-GGA) data for a relaxed Al2Zn2Si3 crystal, as listed in the Open Quantum Materials Database.

Cell lengths 4.1592, 4.1592, 23.7224 Å; angles 90.00, 90.00, 120.00 degrees
Space group R3m (No. 160, hexagonal axes)
Unique sites:
Al 0.0000 0.0000 0.0000
Al 0.0000 0.0000 0.4910
Zn 0.0000 0.0000 0.2399
Zn 0.0000 0.0000 0.7564
Si 0.0000 0.0000 0.3830
Si 0.0000 0.0000 0.6189
Si 0.0000 0.0000 0.8649

**Calculated total energy**: -24.2 eV/f.u.